Entry 1:
A geometry-optimized LiCdAuBr2 structure. Source: Alexandria via LeMat-Bulk, functional PBEsol.

a b c (Å): 5.432 5.432 5.271
angles (deg): 90.00 90.00 90.00
Positions (direct):
Li  0.000  0.000  0.000
Cd  0.500  0.500  0.500
Au  0.500  0.500  0.000
Br  0.000  0.500  0.500
Br  0.500  0.000  0.500

Summary:
- Total magnetization: 0.000 μB per formula unit
- Total DFT energy (no corrections): -2.4398 eV per atom
- Formation energy from raw total energies: -0.27 eV/atom
- SG: No. 123

---

Entry 2:
A geometry-optimized Pb3IBr structure. Source: Alexandria via LeMat-Bulk, functional PBEsol.

a b c (Å): 5.764 5.764 5.764
angles (deg): 90.00 90.00 90.00
Positions (direct):
Pb  0.000  0.000  0.500
Pb  0.000  0.500  0.000
Pb  0.500  0.000  0.000
I  0.500  0.500  0.500
Br  0.000  0.000  0.000

Summary:
- Total magnetization: 0.711 μB per formula unit
- Total DFT energy (no corrections): -2.7045 eV per atom
- Formation energy from raw total energies: 0.42 eV/atom
- SG: No. 221

---

Entry 3:
A geometry-optimized HgAs2PbBr structure. Source: Alexandria via LeMat-Bulk, functional PBEsol.

a b c (Å): 5.067 5.067 5.656
angles (deg): 90.00 90.00 90.00
Positions (direct):
Hg  0.000  0.000  0.000
As  0.000  0.500  0.000
As  0.500  0.000  0.000
Pb  0.500  0.500  0.500
Br  0.000  0.000  0.500

Summary:
- Total magnetization: 0.646 μB per formula unit
- Total DFT energy (no corrections): -2.7772 eV per atom
- Formation energy from raw total energies: 0.55 eV/atom
- SG: No. 123

---

Entry 4:
A geometry-optimized NaSr3RuO6 structure. Source: Alexandria via LeMat-Bulk, functional PBEsol.

a b c (Å): 6.723 6.723 6.723
angles (deg): 90.71 90.71 90.71
Positions (direct):
Na  0.250  0.250  0.250
Na  0.750  0.750  0.750
Sr  0.109  0.750  0.391
Sr  0.250  0.609  0.891
Sr  0.391  0.109  0.750
Sr  0.609  0.891  0.250
Sr  0.750  0.391  0.109
Sr  0.891  0.250  0.609
Ru  0.000  0.000  0.000
Ru  0.500  0.500  0.500
O  0.056  0.923  0.722
O  0.077  0.278  0.944
O  0.222  0.423  0.556
O  0.278  0.944  0.077
O  0.423  0.556  0.222
O  0.444  0.778  0.577
O  0.556  0.222  0.423
O  0.577  0.444  0.778
O  0.722  0.056  0.923
O  0.778  0.577  0.444
O  0.923  0.722  0.056
O  0.944  0.077  0.278

Summary:
- Total magnetization: 3.002 μB per formula unit
- Total DFT energy (no corrections): -6.6287 eV per atom
- Formation energy from raw total energies: -2.21 eV/atom
- SG: No. 167

---

Entry 5:
A geometry-optimized SbAsP2Rh structure. Source: Alexandria via LeMat-Bulk, functional PBEsol.

a b c (Å): 4.933 4.933 4.803
angles (deg): 90.00 90.00 90.00
Positions (direct):
Sb  0.000  0.000  0.000
As  0.500  0.500  0.500
P  0.000  0.500  0.000
P  0.500  0.000  0.000
Rh  0.000  0.000  0.500

Summary:
- Total magnetization: 0.000 μB per formula unit
- Total DFT energy (no corrections): -4.5154 eV per atom
- Formation energy from raw total energies: 1.36 eV/atom
- SG: No. 123

---

Entry 6:
A geometry-optimized Zr2TcOs structure. Source: Alexandria via LeMat-Bulk, functional PBEsol.

a b c (Å): 4.584 4.584 4.584
angles (deg): 60.00 60.00 60.00
Positions (direct):
Zr  0.250  0.250  0.250
Zr  0.750  0.750  0.750
Tc  0.000  0.000  0.000
Os  0.500  0.500  0.500

Summary:
- Total magnetization: 0.000 μB per formula unit
- Total DFT energy (no corrections): -10.8988 eV per atom
- SG: No. 225

---

Entry 7:
A geometry-optimized Al2SiNi structure. Source: Alexandria via LeMat-Bulk, functional PBEsol.

a b c (Å): 5.832 5.832 5.832
angles (deg): 154.31 138.49 49.46
Positions (direct):
Al  0.000  0.000  0.000
Al  0.705  0.205  0.500
Si  0.392  0.392  0.000
Ni  0.203  0.703  0.500

Summary:
- Total magnetization: 0.000 μB per formula unit
- Total DFT energy (no corrections): -5.2747 eV per atom
- Formation energy from raw total energies: -0.25 eV/atom
- SG: No. 44

---

Entry 8:
A geometry-optimized V2CoP2H8O14 structure. Source: Alexandria via LeMat-Bulk, functional PBEsol.

a b c (Å): 7.777 7.777 7.777
angles (deg): 132.71 132.71 69.11
Positions (direct):
V  0.221  0.221  0.000
V  0.779  0.779  0.000
Co  0.500  0.500  0.000
P  0.250  0.750  0.500
P  0.750  0.250  0.500
H  0.105  0.611  0.844
H  0.233  0.739  0.844
H  0.261  0.105  0.494
H  0.389  0.233  0.494
H  0.611  0.767  0.506
H  0.739  0.895  0.506
H  0.767  0.261  0.156
H  0.895  0.389  0.156
O  0.125  0.859  0.341
O  0.141  0.482  0.266
O  0.216  0.875  0.734
O  0.260  0.693  0.953
O  0.307  0.260  0.567
O  0.347  0.347  0.000
O  0.482  0.216  0.341
O  0.518  0.784  0.659
O  0.653  0.653  0.000
O  0.693  0.740  0.433
O  0.740  0.307  0.047
O  0.784  0.125  0.266
O  0.859  0.518  0.734
O  0.875  0.141  0.659

Summary:
- Total magnetization: 3.000 μB per formula unit
- Total DFT energy (no corrections): -6.7576 eV per atom
- SG: No. 87

---

Entry 9:
A geometry-optimized Ca2Mo2Ru structure. Source: Alexandria via LeMat-Bulk, functional PBEsol.

a b c (Å): 9.847 9.847 9.847
angles (deg): 160.03 160.03 28.39
Positions (direct):
Ca  0.092  0.092  0.000
Ca  0.908  0.908  0.000
Mo  0.250  0.750  0.500
Mo  0.750  0.250  0.500
Ru  0.500  0.500  0.000

Summary:
- Total magnetization: 0.429 μB per formula unit
- Total DFT energy (no corrections): -6.7640 eV per atom
- SG: No. 139

---

Entry 10:
A geometry-optimized SrCa2Mo structure. Source: Alexandria via LeMat-Bulk, functional PBEsol.

a b c (Å): 3.677 3.677 9.645
angles (deg): 90.00 90.00 90.00
Positions (direct):
Sr  0.000  0.000  0.000
Ca  0.500  0.500  0.320
Ca  0.500  0.500  0.680
Mo  0.000  0.000  0.500

Summary:
- Total magnetization: 2.558 μB per formula unit
- Total DFT energy (no corrections): -3.7596 eV per atom
- SG: No. 123

---

Entry 11:
A geometry-optimized Li3Ni structure. Source: Alexandria via LeMat-Bulk, functional PBEsol.

a b c (Å): 2.551 2.551 9.021
angles (deg): 90.00 90.00 112.16
Positions (direct):
Li  0.000  0.000  0.000
Li  0.500  0.500  0.283
Li  0.500  0.500  0.717
Ni  0.000  0.000  0.500

Summary:
- Total magnetization: 0.000 μB per formula unit
- Total DFT energy (no corrections): -2.9287 eV per atom
- SG: No. 65

---

Entry 12:
A geometry-optimized LaScS2 structure. Source: Alexandria via LeMat-Bulk, functional PBEsol.

a b c (Å): 7.365 7.365 7.365
angles (deg): 131.32 131.32 71.30
Positions (direct):
La  0.000  0.000  0.000
La  0.750  0.250  0.500
Sc  0.250  0.750  0.500
Sc  0.500  0.500  0.000
S  0.168  0.625  0.043
S  0.375  0.418  0.543
S  0.582  0.125  0.957
S  0.875  0.832  0.457

Summary:
- Total magnetization: 0.000 μB per formula unit
- Total DFT energy (no corrections): -6.7498 eV per atom
- Formation energy from raw total energies: -1.57 eV/atom
- SG: No. 122